A plane-wave DFT calculation with GGA-PBE was carried out for a geometry-optimized V2HgAu2 structure.

Calculated values
**ΔE_f**: 1.359 eV per formula unit
**ρ**: 12.81 g/cm³

Unit cell a=7.689 b=7.689 c=3.055 alpha=90.00 beta=90.00 gamma=90.00
Sites, in units of the cell vectors:
V (0.162, 0.338, 0.000)
V (0.338, 0.838, 0.000)
V (0.662, 0.162, 0.000)
V (0.838, 0.662, 0.000)
Hg (0.000, 0.000, 0.500)
Hg (0.500, 0.500, 0.500)
Au (0.133, 0.633, 0.500)
Au (0.367, 0.133, 0.500)
Au (0.633, 0.867, 0.500)
Au (0.867, 0.367, 0.500)